1.
First-principles (PBE) data for crystalline Pa4RuCS2 at its relaxed geometry, as listed in the Alexandria database.

Structure (POSCAR):
```
Pa4RuCS2
1.0
6.685 0.000 0.000
0.000 3.721 0.000
-1.954 0.000 6.528
Pa Ru C S
4 1 1 2
Direct
0.226 0.000 0.222 Pa
0.234 0.500 0.763 Pa
0.766 0.500 0.237 Pa
0.774 0.000 0.778 Pa
0.500 0.000 0.000 Ru
0.000 0.500 0.000 C
0.000 0.000 0.500 S
0.500 0.500 0.500 S
```

Results
DFT total energy = -72.4 eV/f.u.
formation energy (no corrections) = -7.62 eV per formula unit
total magnetic moment = 0.00 μB/cell


2.
First-principles (PBE) data for crystalline NdAg2Br6 at its relaxed geometry, as listed in the Alexandria database.

Structure (POSCAR):
```
NdAg2Br6
1.0
7.202 -6.890 0.000
7.202 6.890 0.000
-2.252 0.000 7.002
Nd Ag Br
2 4 12
Direct
0.088 0.912 0.750 Nd
0.912 0.088 0.250 Nd
0.318 0.504 0.850 Ag
0.496 0.682 0.650 Ag
0.504 0.318 0.350 Ag
0.682 0.496 0.150 Ag
0.056 0.183 0.646 Br
0.091 0.641 0.832 Br
0.183 0.056 0.146 Br
0.307 0.466 0.465 Br
0.359 0.909 0.668 Br
0.466 0.307 0.965 Br
0.534 0.693 0.035 Br
0.641 0.091 0.332 Br
0.693 0.534 0.535 Br
0.817 0.944 0.854 Br
0.909 0.359 0.168 Br
0.944 0.817 0.354 Br
```

Results
polymorph energy (0 for the lowest one) = 0 meV/atom
DFT total energy = -28.9 eV/f.u.
formation energy (no corrections) = -8.38 eV per formula unit
total magnetic moment = 0.00 μB/cell


3.
First-principles (PBE) data for crystalline TbNdEr2Au4 at its relaxed geometry, as listed in the Alexandria database.

Structure (POSCAR):
```
TbNdEr2Au4
1.0
2.552 1.473 8.432
-2.552 1.473 8.432
0.000 -2.947 8.432
Tb Nd Er Au
1 1 2 4
Direct
0.000 0.000 0.000 Tb
0.500 0.500 0.500 Nd
0.251 0.251 0.251 Er
0.749 0.749 0.749 Er
0.121 0.121 0.121 Au
0.372 0.372 0.372 Au
0.628 0.628 0.628 Au
0.879 0.879 0.879 Au
```

Results
DFT total energy = -38.3 eV/f.u.
ΔE_f = -0.836 eV per atom
total magnetic moment = 0.00 μB/cell


4.
First-principles (PBE) data for crystalline Pa6AgSe12 at its relaxed geometry, as listed in the Alexandria database.

Structure (POSCAR):
```
Pa6AgSe12
1.0
6.404 3.697 3.743
-6.404 3.697 3.743
0.000 -7.395 3.743
Pa Ag Se
6 1 12
Direct
0.123 0.632 0.801 Pa
0.199 0.877 0.368 Pa
0.368 0.199 0.877 Pa
0.632 0.801 0.123 Pa
0.801 0.123 0.632 Pa
0.877 0.368 0.199 Pa
0.500 0.500 0.500 Ag
0.065 0.923 0.675 Se
0.077 0.325 0.935 Se
0.179 0.557 0.441 Se
0.325 0.935 0.077 Se
0.441 0.179 0.557 Se
0.443 0.559 0.821 Se
0.557 0.441 0.179 Se
0.559 0.821 0.443 Se
0.675 0.065 0.923 Se
0.821 0.443 0.559 Se
0.923 0.675 0.065 Se
0.935 0.077 0.325 Se
```

Results
DFT total energy = -124.0 eV/f.u.
formation energy (no corrections) = -22.36 eV per formula unit
total magnetic moment = 7.06 μB/cell


5.
First-principles (PBE) data for crystalline Dy2HgAs at its relaxed geometry, as listed in the Alexandria database.

Structure (POSCAR):
```
Dy2HgAs
1.0
2.004 1.157 7.659
-2.004 1.157 7.659
0.000 -2.314 7.659
Dy Hg As
2 1 1
Direct
0.239 0.239 0.239 Dy
0.761 0.761 0.761 Dy
0.000 0.000 0.000 Hg
0.500 0.500 0.500 As
```

Results
polymorph energy (0 for the lowest one) = 0 meV/atom
DFT total energy = -17.9 eV/f.u.
ΔE_f = -0.925 eV per atom
total magnetic moment = 0.00 μB/cell


6.
First-principles (PBE) data for crystalline VH2 at its relaxed geometry, as listed in the Alexandria database.

Structure (POSCAR):
```
VH2
1.0
0.000 2.100 2.100
2.100 0.000 2.100
2.100 2.100 0.000
V H
1 2
Direct
0.000 0.000 0.000 V
0.250 0.250 0.250 H
0.750 0.750 0.750 H
```

Results
DFT total energy = -16.5 eV/f.u.
total magnetic moment = 0.00 μB/cell


7.
First-principles (PBE) data for crystalline Ho5Os2Au2 at its relaxed geometry, as listed in the Alexandria database.

Structure (POSCAR):
```
Ho5Os2Au2
1.0
7.733 -3.699 0.000
7.733 3.699 0.000
0.000 0.000 7.479
Ho Os Au
10 4 4
Direct
0.000 0.000 0.000 Ho
0.049 0.693 0.678 Ho
0.193 0.549 0.178 Ho
0.307 0.951 0.678 Ho
0.451 0.807 0.178 Ho
0.500 0.500 0.500 Ho
0.549 0.193 0.822 Ho
0.693 0.049 0.322 Ho
0.807 0.451 0.822 Ho
0.951 0.307 0.322 Ho
0.118 0.882 0.381 Os
0.382 0.618 0.881 Os
0.618 0.382 0.119 Os
0.882 0.118 0.619 Os
0.213 0.213 0.000 Au
0.287 0.287 0.500 Au
0.713 0.713 0.500 Au
0.787 0.787 0.000 Au
```

Results
DFT total energy = -56.7 eV/f.u.
ΔE_f = -0.531 eV per atom
total magnetic moment = 0.00 μB/cell


8.
First-principles (PBE) data for crystalline NdSmHg4 at its relaxed geometry, as listed in the Alexandria database.

Structure (POSCAR):
```
NdSmHg4
1.0
0.000 4.255 4.255
4.255 0.000 4.255
4.255 4.255 0.000
Nd Sm Hg
1 1 4
Direct
0.000 0.000 0.000 Nd
0.750 0.750 0.750 Sm
0.375 0.375 0.375 Hg
0.375 0.375 0.875 Hg
0.375 0.875 0.375 Hg
0.875 0.375 0.375 Hg
```

Results
polymorph energy (0 for the lowest one) = 133 meV/atom
DFT total energy = -12.3 eV/f.u.
ΔE_f = -0.266 eV per atom
total magnetic moment = 0.00 μB/cell


9.
First-principles (PBE) data for crystalline NaMg3Bi at its relaxed geometry, as listed in the Alexandria database.

Structure (POSCAR):
```
NaMg3Bi
1.0
5.747 0.000 0.000
0.000 5.747 0.000
0.000 0.000 5.747
Na Mg Bi
1 3 1
Direct
0.000 0.000 0.000 Na
0.000 0.500 0.500 Mg
0.500 0.000 0.500 Mg
0.500 0.500 0.000 Mg
0.500 0.500 0.500 Bi
```

Results
polymorph energy (0 for the lowest one) = 0 meV/atom
DFT total energy = -8.3 eV/f.u.
ΔE_f = 0.329 eV per atom
total magnetic moment = 0.00 μB/cell


10.
First-principles (PBE) data for crystalline TbPr4Y5 at its relaxed geometry, as listed in the Alexandria database.

Structure (POSCAR):
```
TbPr4Y5
1.0
8.713 -1.784 0.000
8.713 1.784 0.000
-0.016 0.000 11.322
Tb Pr Y
1 4 5
Direct
0.000 0.000 0.000 Tb
0.156 0.156 0.750 Pr
0.469 0.469 0.751 Pr
0.531 0.531 0.249 Pr
0.844 0.844 0.250 Pr
0.000 0.000 0.500 Y
0.326 0.326 0.554 Y
0.326 0.326 0.946 Y
0.674 0.674 0.054 Y
0.674 0.674 0.446 Y
```

Results
polymorph energy (0 for the lowest one) = 170 meV/atom
DFT total energy = -54.2 eV/f.u.
ΔE_f = 0.187 eV per atom
total magnetic moment = 0.00 μB/cell


11.
First-principles (PBE) data for crystalline Pr2SnP at its relaxed geometry, as listed in the Alexandria database.

Structure (POSCAR):
```
Pr2SnP
1.0
2.077 1.199 7.909
-2.077 1.199 7.909
0.000 -2.398 7.909
Pr Sn P
2 1 1
Direct
0.237 0.237 0.237 Pr
0.763 0.763 0.763 Pr
0.000 0.000 0.000 Sn
0.500 0.500 0.500 P
```

Results
polymorph energy (0 for the lowest one) = 54 meV/atom
DFT total energy = -23.3 eV/f.u.
ΔE_f = -1.073 eV per atom
total magnetic moment = 0.00 μB/cell


12.
First-principles (PBE) data for crystalline Tm4Bi2P at its relaxed geometry, as listed in the Alexandria database.

Structure (POSCAR):
```
Tm4Bi2P
1.0
6.706 0.000 0.000
0.000 6.614 0.000
-3.148 0.000 8.769
Tm Bi P
8 4 2
Direct
0.000 0.003 0.245 Tm
0.000 0.497 0.245 Tm
0.000 0.503 0.755 Tm
0.000 0.997 0.755 Tm
0.400 0.250 0.566 Tm
0.417 0.250 0.134 Tm
0.583 0.750 0.866 Tm
0.600 0.750 0.434 Tm
0.201 0.750 0.051 Bi
0.204 0.750 0.547 Bi
0.796 0.250 0.453 Bi
0.799 0.250 0.949 Bi
0.330 0.250 0.832 P
0.670 0.750 0.168 P
```

Results
DFT total energy = -35.8 eV/f.u.
ΔE_f = -0.671 eV per atom
total magnetic moment = 0.00 μB/cell


13.
First-principles (PBE) data for crystalline ZrHPt at its relaxed geometry, as listed in the Alexandria database.

Structure (POSCAR):
```
ZrHPt
1.0
5.156 0.000 0.000
0.000 2.929 0.000
-0.709 0.000 5.142
Zr H Pt
2 2 2
Direct
0.235 0.000 0.281 Zr
0.765 0.000 0.719 Zr
0.000 0.500 0.000 H
0.000 0.500 0.500 H
0.294 0.500 0.790 Pt
0.706 0.500 0.210 Pt
```

Results
polymorph energy (0 for the lowest one) = 159 meV/atom
DFT total energy = -19.9 eV/f.u.
total magnetic moment = 0.00 μB/cell


14.
First-principles (PBE) data for crystalline Mo3Cl at its relaxed geometry, as listed in the Alexandria database.

Structure (POSCAR):
```
Mo3Cl
1.0
5.700 0.000 0.000
0.000 8.098 0.000
0.000 0.000 5.276
Mo Cl
12 4
Direct
0.039 0.250 0.154 Mo
0.199 0.069 0.652 Mo
0.199 0.431 0.652 Mo
0.301 0.569 0.152 Mo
0.301 0.931 0.152 Mo
0.461 0.750 0.654 Mo
0.539 0.250 0.346 Mo
0.699 0.069 0.848 Mo
0.699 0.431 0.848 Mo
0.801 0.569 0.348 Mo
0.801 0.931 0.348 Mo
0.961 0.750 0.846 Mo
0.111 0.750 0.433 Cl
0.389 0.250 0.933 Cl
0.611 0.750 0.067 Cl
0.889 0.250 0.567 Cl
```

Results
polymorph energy (0 for the lowest one) = 474 meV/atom
DFT total energy = -31.4 eV/f.u.
formation energy (no corrections) = 2.91 eV per formula unit
total magnetic moment = 0.00 μB/cell


15.
First-principles (PBE) data for crystalline Na5Ca3 at its relaxed geometry, as listed in the Alexandria database.

Structure (POSCAR):
```
Na5Ca3
1.0
2.234 -2.974 0.000
2.234 2.974 0.000
0.000 0.000 23.557
Na Ca
5 3
Direct
0.000 0.000 0.000 Na
0.000 0.000 0.243 Na
0.000 0.000 0.757 Na
0.500 0.500 0.120 Na
0.500 0.500 0.880 Na
0.000 0.000 0.500 Ca
0.500 0.500 0.369 Ca
0.500 0.500 0.631 Ca
```

Results
DFT total energy = -12.4 eV/f.u.
ΔE_f = 0.024 eV per atom
total magnetic moment = 0.00 μB/cell


16.
First-principles (PBE) data for crystalline ErOsBr at its relaxed geometry, as listed in the Alexandria database.

Structure (POSCAR):
```
ErOsBr
1.0
2.080 1.201 11.209
-2.080 1.201 11.209
0.000 -2.401 11.209
Er Os Br
2 2 2
Direct
0.059 0.059 0.059 Er
0.941 0.941 0.941 Er
0.338 0.338 0.338 Os
0.662 0.662 0.662 Os
0.221 0.221 0.221 Br
0.779 0.779 0.779 Br
```

Results
DFT total energy = -20.3 eV/f.u.
formation energy (no corrections) = -2.88 eV per formula unit
total magnetic moment = 0.00 μB/cell


17.
First-principles (PBE) data for crystalline TlCr2OsRh at its relaxed geometry, as listed in the Alexandria database.

Structure (POSCAR):
```
TlCr2OsRh
1.0
4.662 0.000 0.000
0.000 4.662 0.000
0.000 0.000 4.740
Tl Cr Os Rh
1 2 1 1
Direct
0.000 0.000 0.000 Tl
0.000 0.500 0.000 Cr
0.500 0.000 0.000 Cr
0.500 0.500 0.500 Os
0.000 0.000 0.500 Rh
```

Results
DFT total energy = -25.8 eV/f.u.
ΔE_f = 2.872 eV per atom
total magnetic moment = 0.12 μB/cell


18.
First-principles (PBE) data for crystalline CaLaAs2Pd5 at its relaxed geometry, as listed in the Alexandria database.

Structure (POSCAR):
```
CaLaAs2Pd5
1.0
4.346 0.000 0.000
0.000 4.346 0.000
0.000 0.000 8.983
Ca La As Pd
1 1 2 5
Direct
0.000 0.000 0.000 Ca
0.000 0.000 0.500 La
0.500 0.500 0.358 As
0.500 0.500 0.642 As
0.000 0.500 0.223 Pd
0.000 0.500 0.777 Pd
0.500 0.000 0.223 Pd
0.500 0.000 0.777 Pd
0.500 0.500 0.000 Pd
```

Results
DFT total energy = -49.3 eV/f.u.
ΔE_f = -0.790 eV per atom
total magnetic moment = 0.00 μB/cell


19.
First-principles (PBE) data for crystalline FeRuBr2 at its relaxed geometry, as listed in the Alexandria database.

Structure (POSCAR):
```
FeRuBr2
1.0
3.152 0.000 0.000
0.000 4.172 0.000
0.000 0.000 6.087
Fe Ru Br
1 1 2
Direct
0.000 0.000 0.000 Fe
0.500 0.000 0.500 Ru
0.000 0.500 0.500 Br
0.500 0.500 0.000 Br
```

Results
polymorph energy (0 for the lowest one) = 667 meV/atom
DFT total energy = -17.8 eV/f.u.
formation energy (no corrections) = 3.25 eV per formula unit
total magnetic moment = 5.14 μB/cell


20.
First-principles (PBE) data for crystalline Sr2Sb2AsPb2 at its relaxed geometry, as listed in the Alexandria database.

Structure (POSCAR):
```
Sr2Sb2AsPb2
1.0
4.543 0.000 0.000
2.219 7.658 0.000
2.226 3.021 7.292
Sr Sb As Pb
2 2 1 2
Direct
0.032 0.219 0.215 Sr
0.968 0.781 0.785 Sr
0.383 0.148 0.591 Sb
0.617 0.852 0.409 Sb
0.500 0.500 0.000 As
0.285 0.607 0.316 Pb
0.715 0.393 0.684 Pb
```

Results
DFT total energy = -27.3 eV/f.u.
formation energy (no corrections) = -3.64 eV per formula unit
total magnetic moment = 0.00 μB/cell


21.
First-principles (PBE) data for crystalline SrMo2Se at its relaxed geometry, as listed in the Alexandria database.

Structure (POSCAR):
```
SrMo2Se
1.0
3.385 0.000 0.000
0.000 4.140 0.000
-0.011 0.000 6.347
Sr Mo Se
1 2 1
Direct
0.000 0.000 0.000 Sr
0.498 0.000 0.470 Mo
0.998 0.500 0.446 Mo
0.499 0.500 0.752 Se
```

Results
DFT total energy = -26.6 eV/f.u.
formation energy (no corrections) = 0.25 eV per formula unit
total magnetic moment = 0.00 μB/cell


22.
First-principles (PBE) data for crystalline Y2ErSc at its relaxed geometry, as listed in the Alexandria database.

Structure (POSCAR):
```
Y2ErSc
1.0
1.746 1.008 11.292
-1.746 1.008 11.292
0.000 -2.016 11.292
Y Er Sc
2 1 1
Direct
0.247 0.247 0.247 Y
0.753 0.753 0.753 Y
0.000 0.000 0.000 Er
0.500 0.500 0.500 Sc
```

Results
polymorph energy (0 for the lowest one) = 33 meV/atom
DFT total energy = -23.6 eV/f.u.
ΔE_f = 0.054 eV per atom
total magnetic moment = 0.00 μB/cell


23.
First-principles (PBE) data for crystalline KH6N2O2 at its relaxed geometry, as listed in the Alexandria database.

Structure (POSCAR):
```
KH6N2O2
1.0
3.702 -2.208 0.000
3.702 2.208 0.000
-2.720 0.000 6.610
K H N O
1 6 2 2
Direct
0.000 0.000 0.000 K
0.174 0.598 0.332 H
0.331 0.331 0.714 H
0.402 0.826 0.668 H
0.598 0.174 0.332 H
0.669 0.669 0.286 H
0.826 0.402 0.668 H
0.455 0.455 0.399 N
0.545 0.545 0.601 N
0.236 0.236 0.779 O
0.764 0.764 0.221 O
```

Results
DFT total energy = -54.4 eV/f.u.
total magnetic moment = 1.00 μB/cell


24.
First-principles (PBE) data for crystalline BaTl2O at its relaxed geometry, as listed in the Alexandria database.

Structure (POSCAR):
```
BaTl2O
1.0
-4.791 4.791 2.638
4.791 -4.791 2.638
4.791 4.791 -2.638
Ba Tl O
2 4 2
Direct
0.000 0.000 0.000 Ba
0.750 0.250 0.500 Ba
0.216 0.625 0.091 Tl
0.375 0.466 0.591 Tl
0.534 0.125 0.909 Tl
0.875 0.784 0.409 Tl
0.250 0.750 0.500 O
0.500 0.500 0.000 O
```

Results
polymorph energy (0 for the lowest one) = 0 meV/atom
DFT total energy = -14.4 eV/f.u.
formation energy (no corrections) = -2.75 eV per formula unit
total magnetic moment = 0.00 μB/cell